# 1
Below is an optimized crystal structure of SmBePd3, with properties calculated at the PBE level.

a b c (Å): 5.3548 7.4019 8.8599
angles (deg): 90.00 90.00 90.00
With the nearest neighbours (Å) after each atom.
Space group Imma (No. 74)
One atom of each set of equivalent atoms:
Sm1 0.0000 0.0000 0.0000 [4 per cell]  10 Pd 3.05-3.18, 4 Be 3.27
Be1 0.0000 0.2500 0.4589 [4 per cell]  4 Pd 2.25-2.28
Pd1 0.0000 0.0629 0.6595 [8 per cell]  1 Be 2.25
Pd2 0.2500 0.2500 0.2500 [4 per cell]  2 Be 2.28

Calculated values
- total magnetization (μB per formula unit) = 0.0
- E_form (eV/atom) = -0.610
- relative energy among the computed polymorphs (eV/atom) = 0.1277


# 2
Below is an optimized crystal structure of Sm2BePd, with properties calculated at the PBE level.

a b c (Å): 3.5738 3.5738 6.9324
angles (deg): 90.00 90.00 90.00
With the nearest neighbours (Å) after each atom.
Space group P4/mmm (No. 123)
One atom of each set of equivalent atoms:
Sm1 0.0000 0.0000 0.2436 [2 per cell]  4 Be 3.04, 4 Pd 3.09, 1 Sm 3.38
Be1 0.5000 0.5000 0.0000 [1 per cell]  8 Sm 3.04
Pd1 0.5000 0.5000 0.5000 [1 per cell]  8 Sm 3.09

Calculated values
- total magnetization (μB per formula unit) = 0.0
- E_form (eV/atom) = -0.310
- relative energy among the computed polymorphs (eV/atom) = 0.0000


# 3
Below is an optimized crystal structure of SmBePd3, with properties calculated at the PBE level.

a b c (Å): 4.4061 4.4061 4.4061
angles (deg): 90.00 90.00 90.00
With the nearest neighbours (Å) after each atom.
Space group Pm-3m (No. 221)
One atom of each set of equivalent atoms:
Sm1 0.0000 0.0000 0.0000 [1 per cell]  12 Pd 3.12
Be1 0.5000 0.5000 0.5000 [1 per cell]  6 Pd 2.20
Pd1 0.0000 0.5000 0.5000 [3 per cell]  2 Be 2.20

Calculated values
- total magnetization (μB per formula unit) = 0.0
- E_form (eV/atom) = -0.663
- relative energy among the computed polymorphs (eV/atom) = 0.0748


# 4
Below is an optimized crystal structure of SmBe2Pd6, with properties calculated at the PBE level.

a b c (Å): 10.8355 10.8355 10.8355
angles (deg): 90.00 90.00 90.00
With the nearest neighbours (Å) after each atom.
Space group Fd-3m (No. 227, origin choice 2)
One atom of each set of equivalent atoms:
Sm1 0.1250 0.1250 0.1250 [8 per cell]  6 Pd 2.91
Be1 0.0000 0.0000 0.5000 [16 per cell]  6 Pd 2.24
Pd1 0.1064 0.3750 0.8750 [48 per cell]  2 Be 2.24

Calculated values
- total magnetization (μB per formula unit) = 0.0
- E_form (eV/atom) = -0.281


# 5
Below is an optimized crystal structure of SmBePd3, with properties calculated at the PBE level.

a b c (Å): 5.9291 5.9291 5.5272
angles (deg): 90.00 90.00 120.00
With the nearest neighbours (Å) after each atom.
Space group P6_3/mmc (No. 194)
One atom of each set of equivalent atoms:
Sm1 0.3333 0.6667 0.2500 [2 per cell]  12 Pd 2.97-3.21
Be1 0.0000 0.0000 0.0000 [2 per cell]  6 Pd 2.26
Pd1 0.1747 0.3494 0.7500 [6 per cell]  2 Be 2.26

Calculated values
- total magnetization (μB per formula unit) = 0.0
- E_form (eV/atom) = -0.737
- relative energy among the computed polymorphs (eV/atom) = 0.0000


# 6
Below is an optimized crystal structure of SmBePd, with properties calculated at the PBE level.

a b c (Å): 3.9139 10.5136 5.3587
angles (deg): 90.00 90.00 90.00
With the nearest neighbours (Å) after each atom.
Space group Cmcm (No. 63)
One atom of each set of equivalent atoms:
Sm1 0.0000 0.2123 0.2500 [4 per cell]  5 Pd 2.90-3.10
Be1 0.0000 0.5000 0.0000 [4 per cell]  4 Pd 2.46, 2 Be 2.68
Pd1 0.0000 0.0635 0.7500 [4 per cell]  4 Be 2.46

Calculated values
- total magnetization (μB per formula unit) = 0.0
- E_form (eV/atom) = -0.443
- relative energy among the computed polymorphs (eV/atom) = 0.0505


# 7
Below is an optimized crystal structure of SmBe2Pd2, with properties calculated at the PBE level.

a b c (Å): 4.0055 4.0055 9.7849
angles (deg): 90.00 90.00 90.00
With the nearest neighbours (Å) after each atom.
Space group I4/mmm (No. 139)
One atom of each set of equivalent atoms:
Sm1 0.0000 0.0000 0.0000 [2 per cell]  8 Be 3.08, 8 Pd 3.16
Be1 0.0000 0.0000 0.3763 [4 per cell]  4 Pd 2.35, 1 Be 2.42
Pd1 0.0000 0.5000 0.2500 [4 per cell]  4 Be 2.35

Calculated values
- total magnetization (μB per formula unit) = 0.0
- E_form (eV/atom) = -0.556


# 8
Below is an optimized crystal structure of Sm2BePd6, with properties calculated at the PBE level.

a b c (Å): 8.5285 8.5285 8.5285
angles (deg): 90.00 90.00 90.00
With the nearest neighbours (Å) after each atom.
Space group Fm-3m (No. 225)
One atom of each set of equivalent atoms:
Sm1 0.2500 0.2500 0.2500 [8 per cell]  12 Pd 3.02
Be1 0.0000 0.0000 0.0000 [4 per cell]  6 Pd 2.23
Pd1 0.0000 0.0000 0.2617 [24 per cell]  1 Be 2.23

Calculated values
- total magnetization (μB per formula unit) = 0.0
- E_form (eV/atom) = -0.837


# 9
Below is an optimized crystal structure of SmBePd, with properties calculated at the PBE level.

a b c (Å): 4.1136 4.1136 3.9358
angles (deg): 90.00 90.00 120.00
With the nearest neighbours (Å) after each atom.
Space group P-6m2 (No. 187)
One atom of each set of equivalent atoms:
Sm1 0.0000 0.0000 0.0000 [1 per cell]  6 Be 3.08, 6 Pd 3.08
Be1 0.3333 0.6667 0.5000 [1 per cell]  3 Pd 2.37
Pd1 0.6667 0.3333 0.5000 [1 per cell]  3 Be 2.37

Calculated values
- total magnetization (μB per formula unit) = 0.0
- E_form (eV/atom) = -0.494
- relative energy among the computed polymorphs (eV/atom) = 0.0000


# 10
Below is an optimized crystal structure of SmBe2Pd3, with properties calculated at the PBE level.

a b c (Å): 9.2091 9.2091 3.8329
angles (deg): 90.00 90.00 120.00
With the nearest neighbours (Å) after each atom.
Space group P6/mmm (No. 191)
One atom of each set of equivalent atoms:
Sm1 0.0000 0.0000 0.0000 [1 per cell]  6 Be 2.90
Sm2 0.3333 0.6667 0.5000 [2 per cell]  6 Be 3.09, 12 Pd 3.28
Be1 0.1817 0.3634 0.0000 [6 per cell]  6 Pd 2.41-2.55
Pd1 0.0000 0.2922 0.5000 [6 per cell]  4 Be 2.41, 2 Pd 2.69
Pd2 0.0000 0.5000 0.0000 [3 per cell]  4 Be 2.55, 4 Pd 2.71

Calculated values
- total magnetization (μB per formula unit) = 0.0
- E_form (eV/atom) = -0.564


# 11
Below is an optimized crystal structure of TbSmBePd, with properties calculated at the PBE level.

a b c (Å): 7.0447 7.0447 7.0447
angles (deg): 90.00 90.00 90.00
With the nearest neighbours (Å) after each atom.
Space group F-43m (No. 216)
One atom of each set of equivalent atoms:
Tb1 0.0000 0.0000 0.0000 [4 per cell]  4 Pd 3.05, 4 Be 3.05
Sm1 0.0000 0.0000 0.5000 [4 per cell]  4 Be 3.05, 4 Pd 3.05
Be1 0.2500 0.2500 0.2500 [4 per cell]  4 Tb 3.05, 4 Sm 3.05
Pd1 0.2500 0.2500 0.7500 [4 per cell]  4 Sm 3.05, 4 Tb 3.05

Calculated values
- total magnetization (μB per formula unit) = 0.0
- E_form (eV/atom) = -0.305


# 12
Below is an optimized crystal structure of SmTiBe2Pd5, with properties calculated at the PBE level.

a b c (Å): 4.4317 4.4317 7.1794
angles (deg): 90.00 90.00 90.00
With the nearest neighbours (Å) after each atom.
Space group P4/mmm (No. 123)
One atom of each set of equivalent atoms:
Sm1 0.0000 0.0000 0.0000 [1 per cell]  12 Pd 3.03-3.13
Ti1 0.0000 0.0000 0.5000 [1 per cell]  8 Pd 2.69
Be1 0.5000 0.5000 0.3416 [2 per cell]  5 Pd 2.25-2.45, 1 Be 2.27
Pd1 0.0000 0.5000 0.2882 [4 per cell]  2 Be 2.25
Pd2 0.5000 0.5000 0.0000 [1 per cell]  2 Be 2.45

Calculated values
- total magnetization (μB per formula unit) = 0.0
- E_form (eV/atom) = -0.513


# 13
Below is an optimized crystal structure of SmBeZn2Pd4, with properties calculated at the PBE level.

a b c (Å): 4.3665 4.3665 23.5787
angles (deg): 90.00 90.00 120.00
With the nearest neighbours (Å) after each atom.
Space group R-3m (No. 166, hexagonal axes)
One atom of each set of equivalent atoms:
Sm1 0.0000 0.0000 0.0000 [3 per cell]  8 Pd 3.02-3.14, 6 Zn 3.29
Be1 0.0000 0.0000 0.5000 [3 per cell]  2 Pd 2.27
Zn1 0.0000 0.0000 0.2438 [6 per cell]  7 Pd 2.56-2.72
Pd1 0.0000 0.0000 0.1332 [6 per cell]  4 Zn 2.61-2.72, 3 Be 2.64
Pd2 0.0000 0.0000 0.4035 [6 per cell]  1 Be 2.27

Calculated values
- total magnetization (μB per formula unit) = 0.0
- E_form (eV/atom) = -0.588


# 14
Below is an optimized crystal structure of Sm3Be2ZnPd9, with properties calculated at the PBE level.

a b c (Å): 6.6665 6.6665 7.0512
angles (deg): 90.00 90.00 120.00
With the nearest neighbours (Å) after each atom.
Space group P-3m1 (No. 164)
One atom of each set of equivalent atoms:
Sm1 0.0000 0.0000 0.0000 [1 per cell]  12 Pd 3.14-3.33
Sm2 0.3333 0.6667 0.6710 [2 per cell]  6 Pd 2.97-3.01, 1 Be 3.31
Be1 0.3333 0.6667 0.1409 [2 per cell]  6 Pd 2.17-2.18
Zn1 0.0000 0.0000 0.5000 [1 per cell]  6 Pd 2.44
Pd1 0.0000 0.5000 0.0000 [3 per cell]  2 Be 2.17
Pd2 0.1836 0.3671 0.3294 [6 per cell]  1 Be 2.18, 1 Zn 2.44

Calculated values
- total magnetization (μB per formula unit) = 0.0
- E_form (eV/atom) = -0.603


# 15
Below is an optimized crystal structure of Sm2BeZnPd6, with properties calculated at the PBE level.

a b c (Å): 5.6810 5.9581 6.9297
angles (deg): 87.17 65.80 61.54
With the nearest neighbours (Å) after each atom.
Space group P-1 (No. 2)
One atom of each set of equivalent atoms:
Sm1 0.0318 0.2501 0.1892 [2 per cell]  9 Pd 2.94-3.27
Be1 0.5000 0.0000 0.5000 [1 per cell]  6 Pd 2.16-2.19
Zn1 0.5000 0.5000 0.0000 [1 per cell]  6 Pd 2.53
Pd1 0.0302 0.2108 0.7200 [2 per cell]  1 Be 2.16
Pd2 0.3949 0.3538 0.3608 [2 per cell]  1 Be 2.19
Pd3 0.4666 0.7887 0.2767 [2 per cell]  1 Be 2.16

Calculated values
- total magnetization (μB per formula unit) = 0.0
- E_form (eV/atom) = -0.629


# 16
Below is an optimized crystal structure of BeSnPd4, with properties calculated at the PBE level.

a b c (Å): 7.5718 5.4628 4.6268
angles (deg): 90.00 95.96 90.00
With the nearest neighbours (Å) after each atom.
Space group P2_1/c (No. 14)
One atom of each set of equivalent atoms:
Be1 0.0000 0.0000 0.0000 [2 per cell]  6 Pd 2.33-2.39
Sn1 0.5000 0.0000 0.5000 [2 per cell]  8 Pd 2.69-2.84
Pd1 0.1477 0.1172 0.4500 [4 per cell]  2 Be 2.35-2.39
Pd2 0.2983 0.5928 0.4716 [4 per cell]  1 Be 2.33

Calculated values
- total magnetization (μB per formula unit) = 0.0
- E_form (eV/atom) = -0.346


# 17
Below is an optimized crystal structure of BeSn6Pd12, with properties calculated at the PBE level.

a b c (Å): 10.6690 10.6690 10.3404
angles (deg): 90.00 90.00 120.00
With the nearest neighbours (Å) after each atom.
Space group R-3 (No. 148, hexagonal axes)
One atom of each set of equivalent atoms:
Be1 0.0000 0.0000 0.0000 [3 per cell]  6 Pd 2.30
Sn1 0.0120 0.6061 0.2869 [18 per cell]  7 Pd 2.65-2.89
Pd1 0.0426 0.8591 0.3895 [18 per cell]  4 Sn 2.66-2.82, 3 Pd 2.74-2.89
Pd2 0.0880 0.1798 0.8466 [18 per cell]  1 Be 2.30

Calculated values
- total magnetization (μB per formula unit) = 0.0
- E_form (eV/atom) = -0.390


# 18
Below is an optimized crystal structure of Be2SnPd8, with properties calculated at the PBE level.

a b c (Å): 14.3247 3.9437 6.1155
angles (deg): 90.00 110.35 90.00
With the nearest neighbours (Å) after each atom.
Space group C2/m (No. 12)
One atom of each set of equivalent atoms:
Be1 0.1950 0.0000 0.1855 [4 per cell]  7 Pd 2.29-2.53
Sn1 0.0000 0.5000 0.5000 [2 per cell]  8 Pd 2.67-2.81
Pd1 0.0380 0.0000 0.2439 [4 per cell]  1 Be 2.40
Pd2 0.1000 0.5000 0.9842 [4 per cell]  2 Be 2.47, 1 Pd 2.72
Pd3 0.1796 0.5000 0.4581 [4 per cell]  1 Be 2.29
Pd4 0.1926 0.0000 0.8023 [4 per cell]  3 Be 2.33-2.53

Calculated values
- total magnetization (μB per formula unit) = 0.0
- E_form (eV/atom) = -0.384


# 19
Below is an optimized crystal structure of Be3SnPd, with properties calculated at the PBE level.

a b c (Å): 4.3229 4.3229 4.3229
angles (deg): 90.00 90.00 90.00
With the nearest neighbours (Å) after each atom.
Space group Pm-3m (No. 221)
One atom of each set of equivalent atoms:
Be1 0.0000 0.0000 0.5000 [3 per cell]  2 Pd 2.16
Sn1 0.5000 0.5000 0.5000 [1 per cell]  12 Be 3.06
Pd1 0.0000 0.0000 0.0000 [1 per cell]  6 Be 2.16

Calculated values
- total magnetization (μB per formula unit) = 0.0
- E_form (eV/atom) = 0.369
- relative energy among the computed polymorphs (eV/atom) = 0.0000


# 20
Below is an optimized crystal structure of Be2Sn5Pd12, with properties calculated at the PBE level.

a b c (Å): 15.0470 5.6485 8.7068
angles (deg): 90.00 112.99 90.00
With the nearest neighbours (Å) after each atom.
Space group C2/m (No. 12)
One atom of each set of equivalent atoms:
Be1 0.0000 0.2012 0.0000 [4 per cell]  6 Pd 2.27-2.36, 1 Be 2.27
Sn1 0.0000 0.5000 0.5000 [2 per cell]  6 Pd 2.67-2.99
Sn2 0.1917 0.0000 0.7815 [4 per cell]  7 Pd 2.65-2.85
Sn3 0.1932 0.0000 0.2767 [4 per cell]  7 Pd 2.67-2.76
Pd1 0.0023 0.0000 0.2395 [4 per cell]  2 Be 2.36
Pd2 0.0440 0.5000 0.1940 [4 per cell]  2 Be 2.29
Pd3 0.1496 0.2612 0.0019 [8 per cell]  1 Be 2.27
Pd4 0.1526 0.2532 0.5061 [8 per cell]  4 Sn 2.65-2.73, 4 Pd 2.79-2.92

Calculated values
- total magnetization (μB per formula unit) = 0.0
- E_form (eV/atom) = -0.366


# 21
Below is an optimized crystal structure of BeSn2Pd2, with properties calculated at the PBE level.

a b c (Å): 6.3886 6.3886 4.4417
angles (deg): 90.00 90.00 90.00
With the nearest neighbours (Å) after each atom.
Space group P4/mbm (No. 127)
One atom of each set of equivalent atoms:
Be1 0.0000 0.0000 0.0000 [2 per cell]  4 Pd 2.40
Sn1 0.1654 0.3346 0.5000 [4 per cell]  2 Pd 2.72, 1 Sn 2.99
Pd1 0.1609 0.6609 0.0000 [4 per cell]  2 Be 2.40

Calculated values
- total magnetization (μB per formula unit) = 0.0
- E_form (eV/atom) = -0.185


# 22
Below is an optimized crystal structure of Be3SnPd, with properties calculated at the PBE level.

a b c (Å): 4.4776 4.4776 4.4776
angles (deg): 90.00 90.00 90.00
With the nearest neighbours (Å) after each atom.
Space group Pm-3m (No. 221)
One atom of each set of equivalent atoms:
Be1 0.0000 0.0000 0.5000 [3 per cell]  2 Sn 2.24
Sn1 0.0000 0.0000 0.0000 [1 per cell]  6 Be 2.24
Pd1 0.5000 0.5000 0.5000 [1 per cell]  12 Be 3.17

Calculated values
- total magnetization (μB per formula unit) = 0.0
- E_form (eV/atom) = 1.194
- relative energy among the computed polymorphs (eV/atom) = 0.8252


E, record by record: -27.07, -19.60, -27.34, -45.86, -27.71, -14.97, -25.34, -51.86, -15.12, -31.14, -19.49, -50.65, -36.47, -78.66, -51.88, -30.58, -97.47, -57.22, -18.53, -96.73, -23.04, -14.40 eV per formula unit